Below is a geometry-optimized RuSe2NF structure, with properties calculated at the PBE-GGA level.

Results
formation energy from raw total energies: 388 meV/atom
symmetry: P4/mmm
M_tot: 0.77 μB per formula unit

Structure (POSCAR):
```
RuSe2NF
1.0
5.012 0.000 0.000
0.000 5.012 0.000
0.000 0.000 3.628
N F Ru Se
1 1 1 2
Cartesian
0.000 0.000 1.814
2.506 2.506 1.814
0.000 0.000 0.000
2.506 0.000 0.000
0.000 2.506 0.000
```